The following is a DFT calculation (PBE) of a relaxed structure of Rb2NaIn.

Summary:
**Formation enthalpy at 0 K**: 0.2615 eV/atom
**Total moment**: 0.00 μB/cell
**Space group**: No. 166

Cell: 14.637 14.637 14.637 Å, 16.30 16.30 16.30°
Sites, in units of the cell vectors:
Rb 0.085 0.085 0.085
Rb 0.915 0.915 0.915
Na 0.500 0.500 0.500
In 0.000 0.000 0.000

***

The following is a DFT calculation (PBE) of a relaxed structure of RbNa3In3.

Summary:
**Formation enthalpy at 0 K**: 0.2770 eV/atom
**Total moment**: 0.00 μB/cell
**Space group**: No. 223

Cell: 8.584 8.584 8.584 Å, 90.00 90.00 90.00°
Sites, in units of the cell vectors:
Rb 0.000 0.000 0.000
Rb 0.500 0.500 0.500
Na 0.000 0.250 0.500
Na 0.000 0.750 0.500
Na 0.250 0.500 0.000
Na 0.500 0.000 0.250
Na 0.500 0.000 0.750
Na 0.750 0.500 0.000
In 0.000 0.500 0.250
In 0.000 0.500 0.750
In 0.250 0.000 0.500
In 0.500 0.250 0.000
In 0.500 0.750 0.000
In 0.750 0.000 0.500

***

The following is a DFT calculation (PBE) of a relaxed structure of RbNaIn.

Summary:
**Formation enthalpy at 0 K**: 0.0541 eV/atom
**Total moment**: 0.00 μB/cell
**Space group**: No. 156

Cell: 6.153 6.153 3.495 Å, 90.00 90.00 120.00°
Sites, in units of the cell vectors:
Rb 0.000 0.000 0.000
Na 0.333 0.667 0.525
In 0.667 0.333 0.491

***

The following is a DFT calculation (PBE) of a relaxed structure of Rb2NaIn2.

Summary:
**Formation enthalpy at 0 K**: 0.1283 eV/atom
**Total moment**: 0.00 μB/cell
**Space group**: No. 127

Cell: 11.294 11.294 3.530 Å, 90.00 90.00 90.00°
Sites, in units of the cell vectors:
Rb 0.196 0.304 0.000
Rb 0.304 0.804 0.000
Rb 0.696 0.196 0.000
Rb 0.804 0.696 0.000
Na 0.000 0.000 0.000
Na 0.500 0.500 0.000
In 0.094 0.594 0.500
In 0.406 0.094 0.500
In 0.594 0.906 0.500
In 0.906 0.406 0.500

***

The following is a DFT calculation (PBE) of a relaxed structure of Rb2NaIn2.

Summary:
**Formation enthalpy at 0 K**: 0.0241 eV/atom
**Total moment**: 0.00 μB/cell
**Space group**: No. 127

Cell: 8.424 8.424 6.273 Å, 90.00 90.00 90.00°
Sites, in units of the cell vectors:
Rb 0.179 0.321 0.000
Rb 0.321 0.821 0.000
Rb 0.679 0.179 0.000
Rb 0.821 0.679 0.000
Na 0.000 0.000 0.500
Na 0.500 0.500 0.500
In 0.121 0.621 0.500
In 0.379 0.121 0.500
In 0.621 0.879 0.500
In 0.879 0.379 0.500

***

The following is a DFT calculation (PBE) of a relaxed structure of RbNa6In4.

Summary:
**Formation enthalpy at 0 K**: -0.0843 eV/atom
**Total moment**: 0.00 μB/cell
**Space group**: No. 121

Cell: 8.350 8.350 8.350 Å, 121.26 121.26 87.82°
Sites, in units of the cell vectors:
Rb 0.000 0.000 0.000
Na 0.000 0.500 0.500
Na 0.094 0.094 0.609
Na 0.485 0.485 0.391
Na 0.500 0.000 0.500
Na 0.515 0.906 0.000
Na 0.906 0.515 0.000
In 0.277 0.578 0.000
In 0.422 0.422 0.699
In 0.578 0.277 0.000
In 0.723 0.723 0.301